CoAg3B (PBE, relaxed); ΔE_f = 18.38 kcal/mol of atoms; Fermi-level density of states = 0.8155 states/eV per atom; symmetry = Pm-3m; M_tot = 1.7 μB per cell
1.0
-1.358 -1.456 -3.810
2.975 -3.100 0.124
-2.790 -2.597 1.987
B Co Ag
1 1 3
Direct
0.000 0.000 0.000
0.500 0.500 0.500
0.000 0.500 0.000
0.000 0.000 0.500
0.500 0.000 0.000

CoAg2B (PBE, relaxed); ΔE_f = 25.85 kcal/mol of atoms; Fermi-level density of states = 1.1214 states/eV per atom; symmetry = I-42d; M_tot = 2.8 μB per cell
1.0
3.616 0.000 0.000
0.000 3.616 0.000
1.808 1.808 9.031
B Co Ag
2 2 4
Direct
0.500 0.500 0.000
0.250 0.750 0.500
0.000 0.000 0.000
0.750 0.250 0.500
0.619 0.125 0.250
0.131 0.625 0.250
0.375 0.381 0.750
0.875 0.869 0.750

CoAgB3 (PBE, relaxed); ΔE_f = 21.11 kcal/mol of atoms; Fermi-level density of states = 0.2762 states/eV per atom; symmetry = Pm-3m; M_tot = 0.0 μB per cell
1.0
-1.128 -3.461 1.149
1.467 -1.532 -3.174
3.339 -0.496 1.783
B Co Ag
3 1 1
Direct
0.000 0.500 0.000
0.000 0.000 0.500
0.500 0.000 0.000
0.000 0.000 0.000
0.500 0.500 0.500

Co2AgB2 (PBE, relaxed); ΔE_f = 2.29 kcal/mol of atoms; Fermi-level density of states = 0.6336 states/eV per atom; symmetry = I4/mmm; M_tot = 0.0 μB per cell
1.0
-2.101 -1.518 -0.957
1.416 -0.498 -2.320
2.372 -6.558 1.208
B Co Ag
2 2 1
Direct
0.750 0.250 0.500
0.250 0.750 0.500
0.356 0.356 0.287
0.644 0.644 0.713
0.000 0.000 0.000

CoAg2B2 (PBE, relaxed); ΔE_f = 29.69 kcal/mol of atoms; Fermi-level density of states = 0.6798 states/eV per atom; symmetry = P4/mbm; M_tot = 3.0 μB per cell
1.0
-4.474 2.555 -4.498
-4.593 -4.697 1.900
-0.926 1.659 1.864
B Co Ag
4 2 4
Direct
0.169 0.669 0.500
0.669 0.831 0.500
0.831 0.331 0.500
0.331 0.169 0.500
0.000 0.000 0.000
0.500 0.500 0.000
0.360 0.860 0.000
0.860 0.640 0.000
0.640 0.140 0.000
0.140 0.360 0.000

CsCoAgB2 (PBE, relaxed); ΔE_f = 39.82 kcal/mol of atoms; Fermi-level density of states = 1.1848 states/eV per atom; symmetry = P4/mmm; M_tot = 1.4 μB per cell
1.0
4.268 0.000 0.000
0.000 5.330 0.000
0.000 0.000 4.268
Cs B Co Ag
1 2 1 1
Direct
0.500 0.500 0.500
0.000 0.000 0.500
0.500 0.000 0.000
0.000 0.500 0.000
0.000 0.000 0.000

FeCoAgB2 (PBE, relaxed); ΔE_f = 23.12 kcal/mol of atoms; Fermi-level density of states = 0.8635 states/eV per atom; symmetry = P4/mmm; M_tot = 2.4 μB per cell
1.0
-0.607 -2.507 2.777
4.336 -0.148 0.815
-0.370 2.839 2.482
B Co Fe Ag
2 1 1 1
Direct
0.000 0.000 0.500
0.500 0.000 0.000
0.000 0.500 0.000
0.000 0.000 0.000
0.500 0.500 0.500

Mn2CoAgB (PBE, relaxed); ΔE_f = 48.86 kcal/mol of atoms; Fermi-level density of states = 0.9154 states/eV per atom; symmetry = P4/mmm; M_tot = 10.2 μB per cell
1.0
-2.039 4.398 -0.130
-4.199 -1.940 0.235
0.168 0.222 4.842
B Mn Co Ag
1 2 1 1
Direct
0.500 0.500 0.500
0.000 0.000 0.500
0.500 0.000 0.000
0.000 0.500 0.000
0.000 0.000 0.000

What is the ΔE_f in the third record? 21.11 kcal/mol of atoms

Which value of Fermi-level density of states does entry 3 give? 0.2762 states/eV per atom